Material: BeNb2Se
Method: DFT, GGA-PBE
State: optimized geometry

```
4
Lattice="0.000 3.136 3.136 3.136 0.000 3.136 3.136 3.136 0.000" Properties=species:S:1:pos:R:3 pbc="T T T"
Be 0.000 0.000 0.000
Nb 1.568 1.568 1.568
Nb 4.704 4.704 4.704
Se 3.136 3.136 3.136
```

Computed properties:
Energy above the most stable polymorph in this dataset in meV per atom: 0
Space group: Fm-3m (225)
E_form (uncorrected) in meV per atom: 72
Fermi-level density of states in states/eV per atom: 0.8663
Energy in eV per cell: -27.1